Entry one
Entry from the Alexandria database: ZrNbCl3 after structural relaxation (GGA-PBE).

Computed properties:
DOS at the Fermi energy	7.2	states/eV/f.u.
total magnetic moment	4.37	Bohr magnetons per cell
space group	Pm-3m

Lattice parameters (Å, degrees): 5.048 5.048 5.048 90.00 90.00 90.00
Element x y z (fractional)
Zr: 0.000 0.000 0.000
Nb: 0.500 0.500 0.500
Cl: 0.000 0.000 0.500
Cl: 0.000 0.500 0.000
Cl: 0.500 0.000 0.000



Entry two
Entry from the Alexandria database: ZrNbCl3 after structural relaxation (GGA-PBE).

Computed properties:
DOS at the Fermi energy	7.3	states/eV/f.u.
total magnetic moment	3.25	Bohr magnetons per cell
space group	Pm-3m

Lattice parameters (Å, degrees): 4.909 4.909 4.909 90.00 90.00 90.00
Element x y z (fractional)
Zr: 0.000 0.000 0.000
Nb: 0.500 0.500 0.500
Cl: 0.000 0.500 0.500
Cl: 0.500 0.000 0.500
Cl: 0.500 0.500 0.000



Ordering by calculated energy gives the sequence entry one, entry two, with the first entry being the most stable.